1.
# ScMo | Alexandria | GGA-PBE | relaxed
# Energy of formation: 0.37 eV per atom
# Volume: 18.2 A^3/atom
# Total magnetic moment: 0.377 μB/atom
# E: -0.30159 hartree per atom
data_ScMo
_chemical_formula_sum 'Sc1 Mo1'
_cell_length_a 3.317
_cell_length_b 3.317
_cell_length_c 3.317
_cell_angle_alpha 90.00
_cell_angle_beta 90.00
_cell_angle_gamma 90.00
_space_group_name_H-M_alt 'P m -3 m'
_space_group_IT_number 221
_space_group_name_Hall '-P 4 2 3'
loop_
_atom_site_label
_atom_site_fract_x
_atom_site_fract_y
_atom_site_fract_z
Sc1 0.000 0.000 0.000
Mo1 0.500 0.500 0.500

---

2.
# Sm2P4Ir3Rh | Alexandria | GGA-PBE | relaxed
# Energy of formation: -1.04 eV per atom
# Volume: 16.6 A^3/atom
# Total magnetic moment: 0.000 μB/atom
# E: -0.27706 hartree per atom
data_Sm2P4Ir3Rh
_chemical_formula_sum 'Sm2 P4 Ir3 Rh1'
_cell_length_a 4.176
_cell_length_b 4.176
_cell_length_c 9.537
_cell_angle_alpha 90.00
_cell_angle_beta 90.00
_cell_angle_gamma 90.00
_space_group_name_H-M_alt 'P -4 m 2'
_space_group_IT_number 115
_space_group_name_Hall 'P -4 -2'
loop_
_atom_site_label
_atom_site_fract_x
_atom_site_fract_y
_atom_site_fract_z
Sm1 0.000 0.500 0.242
P1 0.000 0.000 0.000
P2 0.000 0.500 0.639
P3 0.500 0.500 0.000
Ir1 0.000 0.500 0.887
Ir2 0.500 0.500 0.500
Rh1 0.000 0.000 0.500